The following is a DFT calculation (PBE-GGA) of an optimized crystal structure of KTa2Br.

Structure (POSCAR):
```
KTa2Br
1.0
3.209 -0.007 0.000
-1.092 3.017 0.000
0.000 0.000 9.879
Br Ta K
1 2 1
Direct
0.000 0.000 0.476
0.500 0.500 0.244
0.000 0.000 0.052
0.500 0.500 0.729
```

Output
The calculation puts the total energy at -6.315 eV per atom. As for the density of states at the Fermi level: 2.9 states/eV/cell.